No. 1
This record from Alexandria describes a geometry-optimized KEu2Ho structure. The functional is PBE.

The density is 4.774 Mg/m³. The space-group type is P4/mmm. As for the density of states at the Fermi level: 13.763 states/eV per cell. For the magnetic moment, the calculation gives 15.99 Bohr magnetons per cell. The formation energy from the elements comes out at 0.1596 eV per atom. The total energy comes out at -6.40 eV per atom. For the volume, the calculation gives 176.7 Å³/f.u.

Lattice parameters (Å, degrees): 3.8070 3.8070 12.1912 90.00 90.00 90.00
Last column: nearest neighbours and their distance in Å.
Fractional positions:
K  0.0000  0.0000  0.0000  4 K 3.81
Eu  0.5000  0.5000  0.2918  4 Ho 3.70, 4 Eu 3.81
Eu  0.5000  0.5000  0.7082  4 Ho 3.70, 4 Eu 3.81
Ho  0.0000  0.0000  0.5000  8 Eu 3.70, 4 Ho 3.81

***

No. 2
This record from Alexandria describes a geometry-optimized Mn5Si2 structure. The functional is PBE.

The density is 6.778 Mg/m³. The space-group type is P4_12_12. As for the density of states at the Fermi level: 53.217 states/eV per cell. For the magnetic moment, the calculation gives 35.34 Bohr magnetons per cell. The total energy comes out at -8.37 eV per atom. For the volume, the calculation gives 81.1 Å³/f.u. The calculation puts the formation energy without anion corrections at -0.27 eV per atom.

Lattice parameters (Å, degrees): 8.7231 8.7231 8.5217 90.00 90.00 90.00
Last column: nearest neighbours and their distance in Å.
Fractional positions:
Mn  0.0071  0.3983  0.4281  3 Si 2.32-2.42, 5 Mn 2.39-2.58
Mn  0.0432  0.8686  0.9644  3 Mn 2.24-2.47, 3 Si 2.29-2.42
Mn  0.0449  0.9551  0.2500  4 Si 2.50-2.58, 10 Mn 2.51-2.78
Mn  0.0779  0.6841  0.4194  4 Si 2.32-2.53, 2 Mn 2.53-2.57
Mn  0.1017  0.5071  0.6781  3 Si 2.32-2.42, 5 Mn 2.39-2.58
Mn  0.1314  0.9568  0.5356  3 Mn 2.24-2.47, 3 Si 2.29-2.42
Mn  0.1348  0.1348  0.0000  4 Si 2.37-2.44, 4 Mn 2.47-2.53
Mn  0.1739  0.2218  0.6538  4 Si 2.53-2.72, 8 Mn 2.55-2.80
Mn  0.1841  0.4221  0.1694  4 Si 2.32-2.53, 2 Mn 2.53-2.57
Mn  0.2218  0.1739  0.3462  4 Si 2.53-2.72, 8 Mn 2.55-2.80
Mn  0.2782  0.6739  0.9038  4 Si 2.53-2.72, 8 Mn 2.55-2.80
Mn  0.3159  0.9221  0.0806  4 Si 2.32-2.53, 2 Mn 2.53-2.57
Mn  0.3261  0.7218  0.5962  4 Si 2.53-2.72, 8 Mn 2.55-2.80
Mn  0.3652  0.6348  0.2500  4 Si 2.37-2.44, 4 Mn 2.47-2.53
Mn  0.3686  0.4568  0.7144  3 Mn 2.24-2.47, 3 Si 2.29-2.42
Mn  0.3983  0.0071  0.5719  3 Si 2.32-2.42, 5 Mn 2.39-2.58
Mn  0.4221  0.1841  0.8306  4 Si 2.32-2.53, 2 Mn 2.53-2.57
Mn  0.4551  0.4551  0.0000  4 Si 2.50-2.58, 10 Mn 2.51-2.78
Mn  0.4568  0.3686  0.2856  3 Mn 2.24-2.47, 3 Si 2.29-2.42
Mn  0.4929  0.8983  0.8219  3 Si 2.32-2.42, 5 Mn 2.39-2.58
Mn  0.5071  0.1017  0.3219  3 Si 2.32-2.42, 5 Mn 2.39-2.58
Mn  0.5432  0.6314  0.7856  3 Mn 2.24-2.47, 3 Si 2.29-2.42
Mn  0.5449  0.5449  0.5000  4 Si 2.50-2.58, 10 Mn 2.51-2.78
Mn  0.5779  0.8159  0.3306  4 Si 2.32-2.53, 2 Mn 2.53-2.57
Mn  0.6017  0.9929  0.0719  3 Si 2.32-2.42, 5 Mn 2.39-2.58
Mn  0.6314  0.5432  0.2144  3 Mn 2.24-2.47, 3 Si 2.29-2.42
Mn  0.6348  0.3652  0.7500  4 Si 2.37-2.44, 4 Mn 2.47-2.53
Mn  0.6739  0.2782  0.0962  4 Si 2.53-2.72, 8 Mn 2.55-2.80
Mn  0.6841  0.0779  0.5806  4 Si 2.32-2.53, 2 Mn 2.53-2.57
Mn  0.7218  0.3261  0.4038  4 Si 2.53-2.72, 8 Mn 2.55-2.80
Mn  0.7782  0.8261  0.8462  4 Si 2.53-2.72, 8 Mn 2.55-2.80
Mn  0.8159  0.5779  0.6694  4 Si 2.32-2.53, 2 Mn 2.53-2.57
Mn  0.8261  0.7782  0.1538  4 Si 2.53-2.72, 8 Mn 2.55-2.80
Mn  0.8652  0.8652  0.5000  4 Si 2.37-2.44, 4 Mn 2.47-2.53
Mn  0.8686  0.0432  0.0356  3 Mn 2.24-2.47, 3 Si 2.29-2.42
Mn  0.8983  0.4929  0.1781  3 Si 2.32-2.42, 5 Mn 2.39-2.58
Mn  0.9221  0.3159  0.9194  4 Si 2.32-2.53, 2 Mn 2.53-2.57
Mn  0.9551  0.0449  0.7500  4 Si 2.50-2.58, 10 Mn 2.51-2.78
Mn  0.9568  0.1314  0.4644  3 Mn 2.24-2.47, 3 Si 2.29-2.42
Mn  0.9929  0.6017  0.9281  3 Si 2.32-2.42, 5 Mn 2.39-2.58
Si  0.0352  0.7637  0.7014  8 Mn 2.32-2.58
Si  0.1189  0.6954  0.1502  7 Mn 2.29-2.53
Si  0.1954  0.3811  0.9002  7 Mn 2.29-2.53
Si  0.2363  0.9648  0.7986  8 Mn 2.32-2.58
Si  0.2637  0.4648  0.4514  8 Mn 2.32-2.58
Si  0.3046  0.8811  0.3498  7 Mn 2.29-2.53
Si  0.3811  0.1954  0.0998  7 Mn 2.29-2.53
Si  0.4648  0.2637  0.5486  8 Mn 2.32-2.58
Si  0.5352  0.7363  0.0486  8 Mn 2.32-2.58
Si  0.6189  0.8046  0.5998  7 Mn 2.29-2.53
Si  0.6954  0.1189  0.8498  7 Mn 2.29-2.53
Si  0.7363  0.5352  0.9514  8 Mn 2.32-2.58
Si  0.7637  0.0352  0.2986  8 Mn 2.32-2.58
Si  0.8046  0.6189  0.4002  7 Mn 2.29-2.53
Si  0.8811  0.3046  0.6502  7 Mn 2.29-2.53
Si  0.9648  0.2363  0.2014  8 Mn 2.32-2.58

***

No. 3
This record from Alexandria describes a geometry-optimized CdH4Br structure. The functional is PBE.

The density is 2.696 Mg/m³. The space-group type is C2/c. As for the density of states at the Fermi level: 6.000 states/eV per cell. For the magnetic moment, the calculation gives 0.00 Bohr magnetons per cell. The total energy comes out at -2.74 eV per atom. For the volume, the calculation gives 120.9 Å³/f.u.

Lattice parameters (Å, degrees): 7.6634 7.6634 5.5862 95.45 95.45 130.77
Last column: nearest neighbours and their distance in Å.
Fractional positions:
Cd  0.1003  0.8997  0.7500  3 Br 2.81-3.07, 2 H 3.13
Cd  0.8997  0.1003  0.2500  3 Br 2.81-3.07, 2 H 3.13
H  0.2652  0.6180  0.7529  1 H 0.75
H  0.3820  0.7348  0.7471  1 H 0.75
H  0.4464  0.4869  0.9666  1 H 0.75
H  0.4869  0.4464  0.4666  1 H 0.75
H  0.5131  0.5536  0.5334  1 H 0.75
H  0.5536  0.5131  0.0334  1 H 0.75
H  0.6180  0.2652  0.2529  1 H 0.75
H  0.7348  0.3820  0.2471  1 H 0.75
Br  0.1200  0.8800  0.2500  3 Cd 2.81-3.07, 2 H 2.92
Br  0.8800  0.1200  0.7500  3 Cd 2.81-3.07, 2 H 2.92